[1]
DFT (PBE-GGA) results for Tb2PaNiS5 after structural relaxation. Values from VASP.

The structure in Quantum ESPRESSO input format:
```
&SYSTEM
  ibrav = 0, nat = 18, ntyp = 4
/
ATOMIC_SPECIES
S 32.06 S.upf
Tb 158.93 Tb.upf
Pa 231.04 Pa.upf
Ni 58.69 Ni.upf
CELL_PARAMETERS angstrom
3.7464 0.0000 0.0000
-1.8732 8.2296 0.0000
0.0000 0.0000 11.7694
ATOMIC_POSITIONS crystal
S 0.9841 0.9682 0.5143
S 0.3173 0.6346 0.3559
S 0.4961 0.9922 0.7487
S 0.5039 0.0078 0.2487
S 0.0159 0.0318 0.0143
S 0.3052 0.6104 0.6953
S 0.6827 0.3654 0.8559
S 0.3428 0.6857 0.0198
S 0.6572 0.3143 0.5198
S 0.6948 0.3896 0.1953
Tb 0.8850 0.7701 0.1945
Tb 0.1150 0.2299 0.6945
Tb 0.8954 0.7908 0.8509
Tb 0.1046 0.2092 0.3509
Pa 0.1760 0.3520 0.0249
Pa 0.8240 0.6480 0.5249
Ni 0.5554 0.1109 0.9197
Ni 0.4446 0.8891 0.4197
```

Properties
DOS(E_F) ... 7.625 states/eV/cell
Volume ... 181 Å³/f.u.
Magnetization ... 1.2 μB/cell
ΔE_f (raw) ... -1.643 eV/atom
Crystal system ... orthorhombic

[2]
DFT (PBE-GGA) results for Bi2OsSeF after structural relaxation. Values from VASP.

The structure in Quantum ESPRESSO input format:
```
&SYSTEM
  ibrav = 0, nat = 5, ntyp = 4
/
ATOMIC_SPECIES
Os 190.23 Os.upf
F 19.00 F.upf
Se 78.96 Se.upf
Bi 208.98 Bi.upf
CELL_PARAMETERS angstrom
-0.2965 3.3111 -4.4406
-3.8471 -0.1245 0.1640
-0.0026 4.4468 3.3159
ATOMIC_POSITIONS crystal
Os 0.5000 0.5000 0.5000
F 0.0000 0.5000 0.0000
Se 0.0000 0.0000 0.0000
Bi 0.5000 0.0000 0.0000
Bi 0.0000 0.0000 0.5000
```

Properties
DOS(E_F) ... 3.685 states/eV/cell
Volume ... 119 Å³/f.u.
Magnetization ... 0.0 μB/cell
ΔE_f (raw) ... 0.728 eV/atom
Crystal system ... tetragonal